DFT (PBE) results for a relaxed BaBeZn4 crystal.

Summary:
symmetry: No. 216
spin magnetization: 0.000 μB per formula unit
calculated total energy: -9.28 eV for the cell shown

The structure in CIF format:
```
data_BaBeZn4
_chemical_formula_sum 'Ba1 Be1 Zn4'
_space_group_name_H-M_alt 'P 1'
_space_group_IT_number 1
_space_group_name_Hall 'P 1'
_cell_length_a 5.5611
_cell_length_b 5.5611
_cell_length_c 5.5611
_cell_angle_alpha 60.00
_cell_angle_beta 60.00
_cell_angle_gamma 60.00
loop_
_atom_site_label
_atom_site_type_symbol
_atom_site_fract_x
_atom_site_fract_y
_atom_site_fract_z
Ba1 Ba 0.0000 0.0000 0.0000
Be1 Be 0.7500 0.7500 0.7500
Zn1 Zn 0.3773 0.3773 0.3773
Zn2 Zn 0.3773 0.3773 0.8681
Zn3 Zn 0.3773 0.8681 0.3773
Zn4 Zn 0.8681 0.3773 0.3773
```

DFT (PBE) results for a relaxed BaBeZn2 crystal.

Summary:
symmetry: No. 47
spin magnetization: 0.000 μB per formula unit
calculated total energy: -7.64 eV for the cell shown

The structure in CIF format:
```
data_BaBeZn2
_chemical_formula_sum 'Ba1 Be1 Zn2'
_space_group_name_H-M_alt 'P 1'
_space_group_IT_number 1
_space_group_name_Hall 'P 1'
_cell_length_a 4.1209
_cell_length_b 4.8596
_cell_length_c 5.1763
_cell_angle_alpha 90.00
_cell_angle_beta 90.00
_cell_angle_gamma 90.00
loop_
_atom_site_label
_atom_site_type_symbol
_atom_site_fract_x
_atom_site_fract_y
_atom_site_fract_z
Ba1 Ba 0.0000 0.0000 0.0000
Be1 Be 0.0000 0.5000 0.5000
Zn1 Zn 0.5000 0.2542 0.5000
Zn2 Zn 0.5000 0.7458 0.5000
```

DFT (PBE) results for a relaxed BaBe2Zn crystal.

Summary:
symmetry: No. 71
spin magnetization: 0.000 μB per formula unit
calculated total energy: -8.79 eV for the cell shown

The structure in CIF format:
```
data_BaBe2Zn
_chemical_formula_sum 'Ba1 Be2 Zn1'
_space_group_name_H-M_alt 'P 1'
_space_group_IT_number 1
_space_group_name_Hall 'P 1'
_cell_length_a 5.1692
_cell_length_b 5.1692
_cell_length_c 5.1692
_cell_angle_alpha 131.84
_cell_angle_beta 107.66
_cell_angle_gamma 91.70
loop_
_atom_site_label
_atom_site_type_symbol
_atom_site_fract_x
_atom_site_fract_y
_atom_site_fract_z
Ba1 Ba 0.0000 0.0000 0.0000
Be1 Be 0.3578 0.8578 0.5000
Be2 Be 0.6422 0.1422 0.5000
Zn1 Zn 0.5000 0.5000 0.0000
```

DFT (PBE) results for a relaxed BaBeZn2 crystal.

Summary:
symmetry: No. 123
spin magnetization: 0.001 μB per formula unit
calculated total energy: -6.17 eV for the cell shown

The structure in CIF format:
```
data_BaBeZn2
_chemical_formula_sum 'Ba1 Be1 Zn2'
_space_group_name_H-M_alt 'P 1'
_space_group_IT_number 1
_space_group_name_Hall 'P 1'
_cell_length_a 4.5201
_cell_length_b 4.5201
_cell_length_c 4.9231
_cell_angle_alpha 90.00
_cell_angle_beta 90.00
_cell_angle_gamma 90.00
loop_
_atom_site_label
_atom_site_type_symbol
_atom_site_fract_x
_atom_site_fract_y
_atom_site_fract_z
Ba1 Ba 0.0000 0.0000 0.0000
Be1 Be 0.5000 0.5000 0.0000
Zn1 Zn 0.0000 0.5000 0.5000
Zn2 Zn 0.5000 0.0000 0.5000
```

DFT (PBE) results for a relaxed BaBeZn2 crystal.

Summary:
symmetry: No. 8
spin magnetization: 0.000 μB per formula unit
calculated total energy: -8.28 eV for the cell shown

The structure in CIF format:
```
data_BaBeZn2
_chemical_formula_sum 'Ba1 Be1 Zn2'
_space_group_name_H-M_alt 'P 1'
_space_group_IT_number 1
_space_group_name_Hall 'P 1'
_cell_length_a 4.2231
_cell_length_b 4.2231
_cell_length_c 6.4013
_cell_angle_alpha 109.06
_cell_angle_beta 109.06
_cell_angle_gamma 59.97
loop_
_atom_site_label
_atom_site_type_symbol
_atom_site_fract_x
_atom_site_fract_y
_atom_site_fract_z
Ba1 Ba 0.0000 0.0000 0.0000
Be1 Be 0.1849 0.1849 0.5528
Zn1 Zn 0.5130 0.5130 0.5373
Zn2 Zn 0.8148 0.8148 0.4421
```

DFT (PBE) results for a relaxed BaBeZn2 crystal.

Summary:
symmetry: No. 12
spin magnetization: 0.000 μB per formula unit
calculated total energy: -8.33 eV for the cell shown

The structure in CIF format:
```
data_BaBeZn2
_chemical_formula_sum 'Ba1 Be1 Zn2'
_space_group_name_H-M_alt 'P 1'
_space_group_IT_number 1
_space_group_name_Hall 'P 1'
_cell_length_a 4.2046
_cell_length_b 4.2046
_cell_length_c 6.4036
_cell_angle_alpha 108.93
_cell_angle_beta 108.93
_cell_angle_gamma 59.98
loop_
_atom_site_label
_atom_site_type_symbol
_atom_site_fract_x
_atom_site_fract_y
_atom_site_fract_z
Ba1 Ba 0.0000 0.0000 0.0000
Be1 Be 0.5000 0.5000 0.5000
Zn1 Zn 0.1885 0.1885 0.5662
Zn2 Zn 0.8115 0.8115 0.4338
```

Q: The highest spin magnetization belongs to which entry?
A: number 4